Entry 1:
# Nb3BiMo (PBE, relaxed)
data_Nb3BiMo
_chemical_formula_sum 'Nb3 Bi1 Mo1'
_space_group_name_H-M_alt 'P m -3 m'
_space_group_IT_number 221
_space_group_name_Hall '-P 4 2 3'
_cell_length_a 4.896
_cell_length_b 4.896
_cell_length_c 4.896
_cell_angle_alpha 90.00
_cell_angle_beta 90.00
_cell_angle_gamma 90.00
loop_
_atom_site_label
_atom_site_type_symbol
_atom_site_fract_x
_atom_site_fract_y
_atom_site_fract_z
Nb1 Nb 0.000 0.000 0.500
Bi1 Bi 0.500 0.500 0.500
Mo1 Mo 0.000 0.000 0.000
# Distance to the lowest polymorph of the same formula (meV/atom): 0.0
# E_form (eV per atom): 1.02

Entry 2:
# Pm3U2Fe4 (PBE, relaxed)
data_Pm3U2Fe4
_chemical_formula_sum 'Pm6 U4 Fe8'
_space_group_name_H-M_alt 'C 1 2/m 1'
_space_group_IT_number 12
_cell_length_a 11.188
_cell_length_b 3.979
_cell_length_c 8.594
_cell_angle_alpha 90.00
_cell_angle_beta 104.11
_cell_angle_gamma 90.00
loop_
_space_group_symop_operation_xyz
'x,y,z'
'-x,-y,-z'
'-x,y,-z'
'x,-y,z'
'x+1/2,y+1/2,z'
'-x+1/2,-y+1/2,-z'
'-x+1/2,y+1/2,-z'
'x+1/2,-y+1/2,z'
loop_
_atom_site_label
_atom_site_type_symbol
_atom_site_fract_x
_atom_site_fract_y
_atom_site_fract_z
Pm1 Pm 0.000 0.000 0.000
Pm2 Pm 0.125 0.500 0.379
U1 U 0.176 0.500 0.781
Fe1 Fe 0.095 0.000 0.653
Fe2 Fe 0.236 0.500 0.090
# E_form (eV per atom): -0.12

Entry 3:
# KPmCuCl6 (PBE, relaxed)
data_KPmCuCl6
_chemical_formula_sum 'K2 Pm2 Cu2 Cl12'
_space_group_name_H-M_alt 'C 1 2 1'
_space_group_IT_number 5
_cell_length_a 7.210
_cell_length_b 11.116
_cell_length_c 7.063
_cell_angle_alpha 90.00
_cell_angle_beta 95.67
_cell_angle_gamma 90.00
loop_
_space_group_symop_operation_xyz
'x,y,z'
'-x,y,-z'
'x+1/2,y+1/2,z'
'-x+1/2,y+1/2,-z'
loop_
_atom_site_label
_atom_site_type_symbol
_atom_site_fract_x
_atom_site_fract_y
_atom_site_fract_z
K1 K 0.000 0.000 0.000
Pm1 Pm 0.000 0.664 0.500
Cu1 Cu 0.000 0.313 0.500
Cl1 Cl 0.123 0.460 0.707
Cl2 Cl 0.171 0.168 0.676
Cl3 Cl 0.184 0.796 0.766
# DFT total energy (eV/atom): -3.94

Calculated values (Å³ per cell) of V for the records, taken in order: 117.38; 371.01; 563.36.
Calculated values (Bohr magnetons per cell) of magnetization for the records, taken in order: 0.00; 0.00; 1.98.